Here is a relaxed Re3Os crystal from Alexandria via LeMat-Bulk. Energies are from PBE-GGA.

a b c (Å): 2.7773 2.7773 8.8494
angles (deg): 90.00 90.00 120.00
Space group P-6m2 (No. 187)
One atom of each set of equivalent atoms:
Re  0.0000  0.0000  0.0000 x1
Re  0.3333  0.6667  0.2521 x2
Os  0.0000  0.0000  0.5000 x1

Its formation energy is -0.04 eV per atom. Its density is 21.0 g/cm3. The value obtained for the density of states at the Fermi level is 3.23 states/eV/cell.

---

Here is a relaxed Rb2DySbSe4 crystal from Alexandria via LeMat-Bulk. Energies are from PBE-GGA.

a b c (Å): 8.8185 8.9770 12.5846
angles (deg): 90.00 90.00 90.00
Space group Imma (No. 74)
One atom of each set of equivalent atoms:
Rb  0.0000  0.0000  0.0000 x4
Rb  0.2500  0.2500  0.2500 x4
Dy  0.2500  0.2500  0.7500 x4
Sb  0.0000  0.0000  0.5000 x4
Se  0.0000  0.0357  0.7337 x8
Se  0.2187  0.2500  0.5186 x8

For the uncorrected formation energy, the calculation gives -1.16 eV per atom. Its density is 5.1 g/cm3.

---

Here is a relaxed Zr4TaFe2 crystal from Alexandria via LeMat-Bulk. Energies are from PBE-GGA.

a b c (Å): 5.1504 5.1504 12.2953
angles (deg): 90.00 90.00 90.00
Space group I4/mmm (No. 139)
One atom of each set of equivalent atoms:
Zr  0.0000  0.0000  0.2149 x4
Zr  0.0000  0.5000  0.0000 x4
Ta  0.0000  0.0000  0.0000 x2
Fe  0.0000  0.0000  0.4055 x4

Its formation energy is 0.92 eV per atom. Its density is 6.7 g/cm3. The value obtained for the density of states at the Fermi level is 17.96 states/eV/cell.

---

Here is a relaxed VOs2Ru crystal from Alexandria via LeMat-Bulk. Energies are from PBE-GGA.

a b c (Å): 3.8078 3.8078 7.7495
angles (deg): 90.00 90.00 90.00
Space group I4/mmm (No. 139)
One atom of each set of equivalent atoms:
V  0.0000  0.0000  0.0000 x2
Os  0.0000  0.5000  0.2500 x4
Ru  0.0000  0.0000  0.5000 x2

For the energy above the most stable polymorph in this dataset, the calculation gives 0.018 eV/atom. Its formation energy is -0.05 eV per atom. Its density is 15.7 g/cm3. The value obtained for the density of states at the Fermi level is 7.63 states/eV/cell.

---

Here is a relaxed NaTe2F crystal from Alexandria via LeMat-Bulk. Energies are from PBE-GGA.

a b c (Å): 3.3773 3.3773 29.8263
angles (deg): 90.00 90.00 120.00
Space group R-3m (No. 166, hexagonal axes)
One atom of each set of equivalent atoms:
Na  0.0000  0.0000  0.0000 x3
Te  0.0000  0.0000  0.4223 x6
F  0.0000  0.0000  0.5000 x3

For the energy above the most stable polymorph in this dataset, the calculation gives 0.465 eV/atom. For the uncorrected formation energy, the calculation gives -0.48 eV per atom. Its density is 5.0 g/cm3. The value obtained for the density of states at the Fermi level is 6.26 states/eV/cell.

---

Here is a relaxed AcDy2Ru crystal from Alexandria via LeMat-Bulk. Energies are from PBE-GGA.

a b c (Å): 3.8092 3.8092 32.1041
angles (deg): 90.00 90.00 120.00
Space group R-3m (No. 166, hexagonal axes)
One atom of each set of equivalent atoms:
Ac  0.0000  0.0000  0.0000 x3
Dy  0.0000  0.0000  0.1165 x6
Ru  0.0000  0.0000  0.5000 x3

For the energy above the most stable polymorph in this dataset, the calculation gives 0.252 eV/atom. Its formation energy is 0.07 eV per atom. Its density is 8.1 g/cm3. The value obtained for the density of states at the Fermi level is 15.40 states/eV/cell.

---

Here is a relaxed AcPr2Ho5 crystal from Alexandria via LeMat-Bulk. Energies are from PBE-GGA.

a b c (Å): 8.6395 11.3608 12.4870
angles (deg): 95.25 108.27 106.39
Space group P-1 (No. 2)
One atom of each set of equivalent atoms:
Ac  0.0258  0.4036  0.1804 x2
Ac  0.0988  0.3429  0.6925 x2
Pr  0.2239  0.0907  0.5673 x2
Pr  0.3438  0.2823  0.3714 x2
Pr  0.4143  0.2197  0.8826 x2
Pr  0.4650  0.0302  0.2445 x2
Ho  0.0402  0.9720  0.2517 x2
Ho  0.0917  0.7830  0.6219 x2
Ho  0.1477  0.1535  0.0545 x2
Ho  0.1667  0.7232  0.1304 x2
Ho  0.2153  0.5339  0.4970 x2
Ho  0.2752  0.9111  0.9339 x2
Ho  0.2946  0.4683  0.0079 x2
Ho  0.3515  0.8435  0.4430 x2
Ho  0.4074  0.6613  0.8084 x2
Ho  0.4724  0.5933  0.3193 x2

For the energy above the most stable polymorph in this dataset, the calculation gives 0.005 eV/atom. Its formation energy is 0.04 eV per atom. Its density is 8.1 g/cm3. The value obtained for the density of states at the Fermi level is 53.59 states/eV/cell.

---

Here is a relaxed Pu4Pd2Rh5 crystal from Alexandria via LeMat-Bulk. Energies are from PBE-GGA.

a b c (Å): 5.5439 9.9736 17.4540
angles (deg): 90.00 90.00 90.00
Space group Fmmm (No. 69)
One atom of each set of equivalent atoms:
Pu  0.0000  0.1541  0.1274 x16
Pd  0.0000  0.0000  0.2784 x8
Rh  0.0000  0.0000  0.0000 x4
Rh  0.2500  0.2500  0.0000 x8
Rh  0.2500  0.2500  0.2500 x8

Its formation energy is -0.02 eV per atom. Its density is 11.7 g/cm3. The value obtained for the density of states at the Fermi level is 133.90 states/eV/cell.

---

Here is a relaxed AcLa5Tb2Er crystal from Alexandria via LeMat-Bulk. Energies are from PBE-GGA.

a b c (Å): 9.5184 9.5184 14.7360
angles (deg): 90.00 90.00 90.00
Space group I4/mcm (No. 140)
One atom of each set of equivalent atoms:
Ac  0.0000  0.0000  0.2500 x4
La  0.0000  0.0000  0.0000 x4
La  0.1993  0.3007  0.1289 x16
Tb  0.1097  0.3903  0.5000 x8
Er  0.0000  0.5000  0.2500 x4

Its formation energy is 0.27 eV per atom. Its density is 7.0 g/cm3. The value obtained for the density of states at the Fermi level is 62.34 states/eV/cell.

---

Here is a relaxed Li2ZnRu crystal from Alexandria via LeMat-Bulk. Energies are from PBE-GGA.

a b c (Å): 2.6133 4.5384 4.6957
angles (deg): 90.00 94.04 90.00
Space group P2/m (No. 10)
One atom of each set of equivalent atoms:
Li  0.2288  0.0000  0.2315 x2
Zn  0.0000  0.5000  0.5000 x1
Ru  0.5000  0.5000  0.0000 x1

Its formation energy is 0.00 eV per atom. Its density is 5.4 g/cm3. The value obtained for the density of states at the Fermi level is 1.56 states/eV/cell.

---

Here is a relaxed AlHg2As crystal from Alexandria via LeMat-Bulk. Energies are from PBE-GGA.

a b c (Å): 3.9628 3.9628 22.5109
angles (deg): 90.00 90.00 120.00
Space group R3m (No. 160, hexagonal axes)
One atom of each set of equivalent atoms:
Al  0.0000  0.0000  0.0000 x3
Hg  0.0000  0.0000  0.2426 x3
Hg  0.0000  0.0000  0.4781 x3
As  0.0000  0.0000  0.7068 x3

For the energy above the most stable polymorph in this dataset, the calculation gives 0.000 eV/atom. Its formation energy is -0.03 eV per atom. Its density is 8.2 g/cm3. The value obtained for the density of states at the Fermi level is 2.52 states/eV/cell.

---

Here is a relaxed Sm2Y7Er crystal from Alexandria via LeMat-Bulk. Energies are from PBE-GGA.

a b c (Å): 8.6940 17.6313 5.0686
angles (deg): 90.00 90.00 90.00
Space group Cmmm (No. 65)
One atom of each set of equivalent atoms:
Sm  0.0000  0.2003  0.0000 x4
Y  0.0000  0.0000  0.0000 x2
Y  0.0000  0.3042  0.5000 x4
Y  0.1809  0.3941  0.0000 x8
Er  0.0000  0.5000  0.5000 x2

For the energy above the most stable polymorph in this dataset, the calculation gives 0.673 eV/atom. Its formation energy is 0.69 eV per atom. Its density is 4.7 g/cm3. The value obtained for the density of states at the Fermi level is 25.42 states/eV/cell.